Entry 1:
Below is crystalline Th3Tl3CoSe8 at its relaxed geometry, with properties calculated at the GGA-PBE level.

Output
DFT total energy = -240.235 eV per cell
total moment = 1.992 μB/f.u.
DOS(E_F) = 4.1 states/eV/f.u.
formation energy from raw total energies = -1518 kJ/mol of formula units
V = 31.781 Å³ per atom

abc: 8.3212 8.3212 23.8504
angles: 90.00 90.00 120.00
Space group R-3m (No. 166, hexagonal axes)
Asymmetric unit:
Th: 0.0000 0.5000 0.0000
Tl: 0.0000 0.5000 0.5000
Co: 0.0000 0.0000 0.0000
Se: 0.0000 0.0000 0.2606
Se: 0.0169 0.5085 0.7313

---

Entry 2:
Below is crystalline Th6TlCo2Se3 at its relaxed geometry, with properties calculated at the GGA-PBE level.

Output
DFT total energy = -163.028 eV per cell
total moment = 0.000 μB/f.u.
DOS(E_F) = 9.5 states/eV/f.u.
formation energy from raw total energies = -961 kJ/mol of formula units
V = 27.110 Å³ per atom

abc: 18.276 4.209 8.759
angles: 90.00 105.04 90.00
Space group C2/m (No. 12)
Asymmetric unit:
Th: 0.022 0.000 0.274
Th: 0.176 0.500 0.120
Th: 0.179 0.500 0.569
Tl: 0.000 0.500 0.000
Co: 0.173 0.000 0.342
Se: 0.000 0.500 0.500
Se: 0.155 0.000 0.834

---

Entry 3:
Below is crystalline YThCoSe at its relaxed geometry, with properties calculated at the GGA-PBE level.

Output
DFT total energy = -84.369 eV per cell
total moment = 0.000 μB/f.u.
DOS(E_F) = 0.9 states/eV/f.u.
formation energy from raw total energies = -352 kJ/mol of formula units
V = 24.420 Å³ per atom

abc: 3.9507 3.9507 21.6800
angles: 90.00 90.00 120.00
Space group R3m (No. 160, hexagonal axes)
Asymmetric unit:
Y: 0.0000 0.0000 0.0000
Th: 0.0000 0.0000 0.8079
Co: 0.0000 0.0000 0.4100
Se: 0.0000 0.0000 0.2416

---

Entry 4:
Below is crystalline TiCoSe2 at its relaxed geometry, with properties calculated at the GGA-PBE level.

Output
DFT total energy = -70.230 eV per cell
total moment = 1.667 μB/f.u.
DOS(E_F) = 7.4 states/eV/f.u.
formation energy from raw total energies = -139 kJ/mol of formula units
distance to the lowest polymorph of the same formula = 89 meV per atom
V = 19.883 Å³ per atom

abc: 3.4304 3.4304 23.4115
angles: 90.00 90.00 120.00
Space group R-3m (No. 166, hexagonal axes)
Asymmetric unit:
Ti: 0.0000 0.0000 0.0000
Co: 0.0000 0.0000 0.5000
Se: 0.0000 0.0000 0.4023

---

Entry 5:
Below is crystalline TiCo3Se at its relaxed geometry, with properties calculated at the GGA-PBE level.

Output
DFT total energy = -29.889 eV per cell
total moment = 3.115 μB/f.u.
DOS(E_F) = 8.7 states/eV/f.u.
formation energy from raw total energies = 271 kJ/mol of formula units
distance to the lowest polymorph of the same formula = 0 meV per atom
V = 15.543 Å³ per atom

abc: 4.267 4.267 4.267
angles: 90.00 90.00 90.00
Space group Pm-3m (No. 221)
Asymmetric unit:
Ti: 0.000 0.000 0.000
Co: 0.000 0.500 0.500
Se: 0.500 0.500 0.500

---

Entry 6:
Below is crystalline TiCoSe2 at its relaxed geometry, with properties calculated at the GGA-PBE level.

Output
DFT total energy = -95.063 eV per cell
total moment = 1.000 μB/f.u.
DOS(E_F) = 2.9 states/eV/f.u.
formation energy from raw total energies = -173 kJ/mol of formula units
distance to the lowest polymorph of the same formula = 0 meV per atom
V = 21.712 Å³ per atom

abc: 5.602 5.602 11.071
angles: 90.00 90.00 90.00
Space group I-42d (No. 122)
Asymmetric unit:
Ti: 0.000 0.000 0.000
Co: 0.000 0.000 0.500
Se: 0.230 0.250 0.625

---

Entry 7:
Below is crystalline Ti2CoSe4 at its relaxed geometry, with properties calculated at the GGA-PBE level.

Output
DFT total energy = -86.373 eV per cell
total moment = 1.093 μB/f.u.
DOS(E_F) = 3.7 states/eV/f.u.
formation energy from raw total energies = -613 kJ/mol of formula units
distance to the lowest polymorph of the same formula = 0 meV per atom
V = 18.420 Å³ per atom

abc: 13.212 3.583 6.135
angles: 90.00 117.39 90.00
Space group C2/m (No. 12)
Asymmetric unit:
Ti: 0.249 0.000 0.236
Co: 0.000 0.500 0.500
Se: 0.114 0.500 0.951
Se: 0.119 0.000 0.453

---

Entry 8:
Below is crystalline Ti2CoSe4 at its relaxed geometry, with properties calculated at the GGA-PBE level.

Output
DFT total energy = -341.029 eV per cell
total moment = 1.019 μB/f.u.
DOS(E_F) = 5.2 states/eV/f.u.
formation energy from raw total energies = -559 kJ/mol of formula units
distance to the lowest polymorph of the same formula = 80 meV per atom
V = 20.745 Å³ per atom

abc: 10.512 10.512 10.512
angles: 90.00 90.00 90.00
Space group Fd-3m (No. 227, origin choice 2)
Asymmetric unit:
Ti: 0.000 0.000 0.000
Co: 0.125 0.125 0.625
Se: 0.003 0.003 0.247

---

Entry 9:
Below is crystalline TiCoSe2 at its relaxed geometry, with properties calculated at the GGA-PBE level.

Output
DFT total energy = -92.346 eV per cell
total moment = 0.631 μB/f.u.
DOS(E_F) = 2.9 states/eV/f.u.
formation energy from raw total energies = -108 kJ/mol of formula units
distance to the lowest polymorph of the same formula = 170 meV per atom
V = 15.560 Å³ per atom

abc: 6.291 6.291 6.291
angles: 90.00 90.00 90.00
Space group Fm-3m (No. 225)
Asymmetric unit:
Ti: 0.000 0.000 0.000
Co: 0.000 0.000 0.500
Se: 0.250 0.250 0.250

---

Entry 10:
Below is crystalline TiCoSe at its relaxed geometry, with properties calculated at the GGA-PBE level.

Output
DFT total energy = -40.426 eV per cell
total moment = 0.806 μB/f.u.
DOS(E_F) = 2.5 states/eV/f.u.
formation energy from raw total energies = -167 kJ/mol of formula units
V = 19.699 Å³ per atom

abc: 3.829 3.895 9.078
angles: 89.13 89.62 60.83
Space group P-1 (No. 2)
Asymmetric unit:
Ti: 0.005 0.483 0.169
Co: 0.334 0.830 0.041
Se: 0.336 0.818 0.310

---

Entry 11:
Below is crystalline TiCo3Se at its relaxed geometry, with properties calculated at the GGA-PBE level.

Output
DFT total energy = -27.137 eV per cell
total moment = 2.344 μB/f.u.
DOS(E_F) = 5.1 states/eV/f.u.
formation energy from raw total energies = 536 kJ/mol of formula units
distance to the lowest polymorph of the same formula = 551 meV per atom
V = 16.295 Å³ per atom

abc: 4.335 4.335 4.335
angles: 90.00 90.00 90.00
Space group Pm-3m (No. 221)
Asymmetric unit:
Ti: 0.000 0.000 0.000
Co: 0.000 0.000 0.500
Se: 0.500 0.500 0.500

---

Entry 12:
Below is crystalline TiCo2Se at its relaxed geometry, with properties calculated at the GGA-PBE level.

Output
DFT total energy = -102.714 eV per cell
total moment = 0.767 μB/f.u.
DOS(E_F) = 3.3 states/eV/f.u.
formation energy from raw total energies = -8 kJ/mol of formula units
V = 14.140 Å³ per atom

abc: 3.749 3.749 16.101
angles: 90.00 90.00 90.00
Space group I-42d (No. 122)
Asymmetric unit:
Ti: 0.000 0.000 0.000
Co: 0.235 0.250 0.625
Se: 0.000 0.000 0.500

---

Entry 13:
Below is crystalline Ti2CoSe6 at its relaxed geometry, with properties calculated at the GGA-PBE level.

Output
DFT total energy = -99.098 eV per cell
total moment = 0.000 μB/f.u.
DOS(E_F) = 7.1 states/eV/f.u.
formation energy from raw total energies = -554 kJ/mol of formula units
V = 21.315 Å³ per atom

abc: 5.951 5.951 10.833
angles: 90.00 90.00 90.00
Space group P4_2/mnm (No. 136)
Asymmetric unit:
Ti: 0.000 0.000 0.157
Co: 0.000 0.000 0.500
Se: 0.191 0.191 0.335
Se: 0.214 0.214 0.000

---

Entry 14:
Below is crystalline Ti2Co2Se at its relaxed geometry, with properties calculated at the GGA-PBE level.

Output
DFT total energy = -68.585 eV per cell
total moment = 0.007 μB/f.u.
DOS(E_F) = 3.5 states/eV/f.u.
formation energy from raw total energies = -78 kJ/mol of formula units
distance to the lowest polymorph of the same formula = 126 meV per atom
V = 14.652 Å³ per atom

abc: 6.975 6.975 3.012
angles: 90.00 90.00 90.00
Space group P4/mbm (No. 127)
Asymmetric unit:
Ti: 0.160 0.340 0.000
Co: 0.128 0.628 0.500
Se: 0.000 0.000 0.000

---

Entry 15:
Below is crystalline Ti2Co2Se at its relaxed geometry, with properties calculated at the GGA-PBE level.

Output
DFT total energy = -69.846 eV per cell
total moment = 0.000 μB/f.u.
DOS(E_F) = 5.4 states/eV/f.u.
formation energy from raw total energies = -139 kJ/mol of formula units
distance to the lowest polymorph of the same formula = 0 meV per atom
V = 15.307 Å³ per atom

abc: 3.355 3.355 13.595
angles: 90.00 90.00 90.00
Space group I4/mmm (No. 139)
Asymmetric unit:
Ti: 0.000 0.000 0.121
Co: 0.000 0.500 0.250
Se: 0.000 0.000 0.500

---

Entry 16:
Below is crystalline Ti2CoSe at its relaxed geometry, with properties calculated at the GGA-PBE level.

Output
DFT total energy = -109.327 eV per cell
total moment = 0.000 μB/f.u.
DOS(E_F) = 3.8 states/eV/f.u.
formation energy from raw total energies = -92 kJ/mol of formula units
V = 15.643 Å³ per atom

abc: 6.713 6.713 5.554
angles: 90.00 90.00 90.00
Space group I-42d (No. 122)
Asymmetric unit:
Ti: 0.227 0.750 0.125
Co: 0.000 0.000 0.000
Se: 0.000 0.000 0.500

---

Entry 17:
Below is crystalline ZrTi2CoSe at its relaxed geometry, with properties calculated at the GGA-PBE level.

Output
DFT total energy = -34.923 eV per cell
total moment = 0.469 μB/f.u.
DOS(E_F) = 4.9 states/eV/f.u.
formation energy from raw total energies = 0 kJ/mol of formula units
V = 19.663 Å³ per atom

abc: 4.462 4.462 4.938
angles: 90.00 90.00 90.00
Space group P4/mmm (No. 123)
Asymmetric unit:
Zr: 0.000 0.000 0.000
Ti: 0.000 0.500 0.500
Co: 0.000 0.000 0.500
Se: 0.500 0.500 0.000

---

Entry 18:
Below is crystalline TlCo6Se8 at its relaxed geometry, with properties calculated at the GGA-PBE level.

Output
DFT total energy = -228.992 eV per cell
total moment = 0.000 μB/f.u.
DOS(E_F) = 12.4 states/eV/f.u.
formation energy from raw total energies = -333 kJ/mol of formula units
V = 18.745 Å³ per atom

abc: 9.2456 9.2456 11.3945
angles: 90.00 90.00 120.00
Space group R-3 (No. 148, hexagonal axes)
Asymmetric unit:
Tl: 0.0000 0.0000 0.0000
Co: 0.0213 0.2015 0.3861
Se: 0.0000 0.0000 0.2585
Se: 0.0267 0.3944 0.2481

---

Entry 19:
Below is crystalline TlCo2Se at its relaxed geometry, with properties calculated at the GGA-PBE level.

Output
DFT total energy = -74.764 eV per cell
total moment = 2.078 μB/f.u.
DOS(E_F) = 4.8 states/eV/f.u.
formation energy from raw total energies = 132 kJ/mol of formula units
distance to the lowest polymorph of the same formula = 165 meV per atom
V = 19.754 Å³ per atom

abc: 4.544 4.544 15.307
angles: 90.00 90.00 90.00
Space group I-42d (No. 122)
Asymmetric unit:
Tl: 0.000 0.000 0.000
Co: 0.106 0.250 0.625
Se: 0.000 0.000 0.500

---

Entry 20:
Below is crystalline TlCo2Se at its relaxed geometry, with properties calculated at the GGA-PBE level.

Output
DFT total energy = -67.802 eV per cell
total moment = 3.024 μB/f.u.
DOS(E_F) = 6.6 states/eV/f.u.
formation energy from raw total energies = 300 kJ/mol of formula units
distance to the lowest polymorph of the same formula = 601 meV per atom
V = 17.081 Å³ per atom

abc: 6.490 6.490 6.490
angles: 90.00 90.00 90.00
Space group F-43m (No. 216)
Asymmetric unit:
Tl: 0.000 0.000 0.000
Co: 0.000 0.000 0.500
Co: 0.250 0.250 0.250
Se: 0.250 0.250 0.750